Dy2Er3Se6 | PBE-GGA | optimized geometry

Unit cell a=4.091 b=4.091 c=20.151 alpha=84.17 beta=84.17 gamma=60.00
Sites, in units of the cell vectors:
Se1 0.803 0.803 0.592
Se2 0.197 0.197 0.408
Se3 0.360 0.360 0.919
Se4 0.919 0.919 0.244
Se5 0.640 0.640 0.081
Se6 0.081 0.081 0.756
Er1 0.000 0.000 0.000
Er2 0.720 0.720 0.841
Er3 0.280 0.280 0.159
Dy1 0.446 0.446 0.663
Dy2 0.554 0.554 0.337

theoretical density: 7.4 g/cm³
formation energy without anion corrections: -1.74 eV/atom
distance to the lowest polymorph of the same formula: 9.6 kJ per mole of atoms

---

Dy2Ru2C3 | PBE-GGA | optimized geometry

Unit cell a=3.416 b=5.623 c=5.924 alpha=112.42 beta=106.76 gamma=90.00
Sites, in units of the cell vectors:
C1 0.250 0.727 0.499
C2 0.750 0.273 0.501
C3 0.000 0.000 0.000
Ru1 0.841 0.676 0.682
Ru2 0.159 0.324 0.318
Dy1 0.391 0.175 0.783
Dy2 0.609 0.825 0.217

theoretical density: 9.4 g/cm³
formation energy: -0.25 eV per atom

---

Sc2FeW | PBE-GGA | optimized geometry

Unit cell a=5.519 b=5.519 c=4.698 alpha=64.80 beta=64.80 gamma=32.76
Sites, in units of the cell vectors:
W1 0.536 0.536 0.464
Sc1 0.758 0.758 0.742
Sc2 0.973 0.973 0.027
Fe1 0.233 0.233 0.267

theoretical density: 7.9 g/cm³
formation energy: 0.09 eV per atom
distance to the lowest polymorph of the same formula: 6.0 kJ per mole of atoms

---

PmNdCuRh | PBE-GGA | optimized geometry

Unit cell a=5.030 b=5.030 c=5.030 alpha=60.00 beta=60.00 gamma=60.00
Sites, in units of the cell vectors:
Pm1 0.000 0.000 0.000
Rh1 0.750 0.750 0.750
Cu1 0.250 0.250 0.250
Nd1 0.500 0.500 0.500

theoretical density: 8.4 g/cm³
formation energy: -0.42 eV per atom
distance to the lowest polymorph of the same formula: 5.4 kJ per mole of atoms

---

InPWS2 | PBE-GGA | optimized geometry

Unit cell a=4.741 b=4.741 c=4.820 alpha=90.00 beta=90.00 gamma=90.00
Sites, in units of the cell vectors:
In1 0.500 0.500 0.500
S1 0.000 0.500 0.000
S2 0.500 0.000 0.000
P1 0.000 0.000 0.500
W1 0.000 0.000 0.000

theoretical density: 6.0 g/cm³
formation energy without anion corrections: 0.06 eV/atom
distance to the lowest polymorph of the same formula: 0.0 kJ per mole of atoms

---

Nb4InSe8 | PBE-GGA | optimized geometry

Unit cell a=6.992 b=6.992 c=8.967 alpha=100.92 beta=101.56 gamma=120.01
Sites, in units of the cell vectors:
Nb1 0.250 0.752 0.001
Nb2 0.246 0.246 0.000
Nb3 0.750 0.248 0.999
Nb4 0.754 0.754 0.000
Se1 0.315 0.483 0.798
Se2 0.687 0.017 0.204
Se3 0.685 0.517 0.202
Se4 0.187 0.019 0.206
Se5 0.186 0.517 0.204
Se6 0.813 0.981 0.794
Se7 0.814 0.483 0.796
Se8 0.313 0.983 0.796
In1 0.000 0.500 0.500

theoretical density: 5.3 g/cm³
formation energy without anion corrections: -0.77 eV/atom
distance to the lowest polymorph of the same formula: 3.0 kJ per mole of atoms

---

NdGa2Ru | PBE-GGA | optimized geometry

Unit cell a=3.230 b=3.230 c=7.150 alpha=90.00 beta=90.00 gamma=90.00
Sites, in units of the cell vectors:
Ga1 0.000 0.000 0.189
Ga2 0.000 0.000 0.811
Ru1 0.500 0.500 0.000
Nd1 0.500 0.500 0.500

theoretical density: 8.6 g/cm³
formation energy: -0.40 eV per atom

---

CeU6P8 | PBE-GGA | optimized geometry

Unit cell a=7.123 b=7.123 c=7.123 alpha=71.99 beta=71.99 gamma=71.99
Sites, in units of the cell vectors:
P1 0.181 0.634 0.888
P2 0.888 0.181 0.634
P3 0.332 0.332 0.332
P4 0.819 0.366 0.112
P5 0.668 0.668 0.668
P6 0.366 0.112 0.819
P7 0.112 0.819 0.366
P8 0.634 0.888 0.181
U1 0.658 0.063 0.468
U2 0.532 0.342 0.937
U3 0.063 0.468 0.658
U4 0.342 0.937 0.532
U5 0.937 0.532 0.342
U6 0.468 0.658 0.063
Ce1 0.000 0.000 0.000

theoretical density: 9.5 g/cm³
formation energy: -0.82 eV per atom

---

PmSm2Y3 | PBE-GGA | optimized geometry

Unit cell a=6.702 b=6.702 c=9.027 alpha=82.32 beta=82.33 gamma=95.37
Sites, in units of the cell vectors:
Pm1 0.914 0.086 0.750
Pm2 0.086 0.914 0.250
Sm1 0.624 0.128 0.126
Sm2 0.872 0.376 0.374
Sm3 0.376 0.872 0.874
Sm4 0.128 0.624 0.626
Y1 0.836 0.670 0.998
Y2 0.670 0.836 0.498
Y3 0.582 0.418 0.750
Y4 0.418 0.582 0.250
Y5 0.330 0.164 0.502
Y6 0.164 0.330 0.002

theoretical density: 6.0 g/cm³
formation energy: 0.06 eV per atom
distance to the lowest polymorph of the same formula: 0.0 kJ per mole of atoms

---

LiDyY4Se8 | PBE-GGA | optimized geometry

Unit cell a=8.373 b=8.373 c=8.369 alpha=59.98 beta=59.98 gamma=60.00
Sites, in units of the cell vectors:
Se1 0.245 0.766 0.745
Se2 0.759 0.759 0.258
Se3 0.245 0.245 0.265
Se4 0.224 0.759 0.258
Se5 0.759 0.224 0.258
Se6 0.759 0.759 0.724
Se7 0.245 0.245 0.745
Se8 0.766 0.245 0.745
Y1 0.005 0.484 0.505
Y2 0.005 0.005 0.505
Y3 0.625 0.625 0.125
Y4 0.484 0.005 0.505
Dy1 0.005 0.005 0.984
Li1 0.375 0.375 0.875

theoretical density: 4.6 g/cm³
formation energy without anion corrections: -1.79 eV/atom

---

NaAs2HBr | PBE-GGA | optimized geometry

Unit cell a=3.932 b=3.932 c=8.187 alpha=90.00 beta=90.00 gamma=90.00
Site moments in Bohr magnetons follow the coordinates.
Sites, in units of the cell vectors:
Br1 0.000 0.000 0.500  0.01
Na1 0.500 0.500 0.500  0.00
As1 0.000 0.500 0.000  0.12
As2 0.500 0.000 0.000  0.12
H1 0.000 0.000 0.000  0.02

theoretical density: 3.3 g/cm³
distance to the lowest polymorph of the same formula: 0.0 kJ per mole of atoms

---

LuCd | PBE-GGA | optimized geometry

Unit cell a=3.668 b=3.674 c=3.670 alpha=90.00 beta=90.00 gamma=90.00
Sites, in units of the cell vectors:
Cd1 0.500 0.996 0.504
Lu1 0.000 0.496 0.004

theoretical density: 9.7 g/cm³
formation energy: -0.30 eV per atom

---

no.,energy (eV per atom)
1,-5.73
2,-8.17
3,-8.43
4,-5.66
5,-5.81
6,-6.22
7,-5.42
8,-8.62
9,-5.53
10,-6.09
11,-3.17
12,-3.02